[1]
First-principles (PBE-GGA) data for a geometry-optimized ZrBe10V structure, as listed in the Alexandria database.

Lattice parameters (Å, degrees): 3.409 4.412 7.671 90.00 90.00 90.00
Positions (direct):
Zr 0.000 0.000 0.000
Be 0.000 0.000 0.348
Be 0.000 0.000 0.652
Be 0.000 0.500 0.183
Be 0.000 0.500 0.817
Be 0.500 0.000 0.500
Be 0.500 0.254 0.262
Be 0.500 0.254 0.738
Be 0.500 0.500 0.000
Be 0.500 0.746 0.262
Be 0.500 0.746 0.738
V 0.000 0.500 0.500

Output
Total moment   0.26 μB per cell
Calculated formation energy   -0.18 eV per atom

[2]
First-principles (PBE-GGA) data for a geometry-optimized Pr3Tm12Tl5 structure, as listed in the Alexandria database.

Lattice parameters (Å, degrees): 15.711 15.711 15.711 109.47 109.47 109.47
Positions (direct):
Pr 0.125 0.250 0.375
Pr 0.125 0.375 0.750
Pr 0.250 0.375 0.125
Pr 0.250 0.875 0.625
Pr 0.375 0.125 0.250
Pr 0.375 0.750 0.125
Pr 0.625 0.250 0.875
Pr 0.625 0.875 0.750
Pr 0.750 0.125 0.375
Pr 0.750 0.625 0.875
Pr 0.875 0.625 0.250
Pr 0.875 0.750 0.625
Tm 0.054 0.221 0.127
Tm 0.054 0.333 0.928
Tm 0.072 0.627 0.405
Tm 0.072 0.946 0.667
Tm 0.095 0.721 0.667
Tm 0.095 0.873 0.428
Tm 0.127 0.054 0.221
Tm 0.127 0.572 0.905
Tm 0.167 0.221 0.595
Tm 0.167 0.446 0.572
Tm 0.221 0.127 0.054
Tm 0.221 0.595 0.167
Tm 0.279 0.333 0.905
Tm 0.279 0.446 0.373
Tm 0.333 0.905 0.279
Tm 0.333 0.928 0.054
Tm 0.373 0.279 0.446
Tm 0.373 0.595 0.928
Tm 0.405 0.072 0.627
Tm 0.405 0.833 0.779
Tm 0.428 0.095 0.873
Tm 0.428 0.833 0.554
Tm 0.446 0.373 0.279
Tm 0.446 0.572 0.167
Tm 0.554 0.428 0.833
Tm 0.554 0.627 0.721
Tm 0.572 0.167 0.446
Tm 0.572 0.905 0.127
Tm 0.595 0.167 0.221
Tm 0.595 0.928 0.373
Tm 0.627 0.405 0.072
Tm 0.627 0.721 0.554
Tm 0.667 0.072 0.946
Tm 0.667 0.095 0.721
Tm 0.721 0.554 0.627
Tm 0.721 0.667 0.095
Tm 0.779 0.405 0.833
Tm 0.779 0.873 0.946
Tm 0.833 0.554 0.428
Tm 0.833 0.779 0.405
Tm 0.873 0.428 0.095
Tm 0.873 0.946 0.779
Tm 0.905 0.127 0.572
Tm 0.905 0.279 0.333
Tm 0.928 0.054 0.333
Tm 0.928 0.373 0.595
Tm 0.946 0.667 0.072
Tm 0.946 0.779 0.873
Tl 0.000 0.000 0.000
Tl 0.000 0.000 0.500
Tl 0.000 0.500 0.000
Tl 0.000 0.500 0.500
Tl 0.125 0.750 0.875
Tl 0.125 0.875 0.250
Tl 0.250 0.125 0.875
Tl 0.250 0.625 0.375
Tl 0.375 0.250 0.625
Tl 0.375 0.625 0.750
Tl 0.500 0.000 0.000
Tl 0.500 0.000 0.500
Tl 0.500 0.500 0.000
Tl 0.500 0.500 0.500
Tl 0.625 0.375 0.250
Tl 0.625 0.750 0.375
Tl 0.750 0.375 0.625
Tl 0.750 0.875 0.125
Tl 0.875 0.125 0.750
Tl 0.875 0.250 0.125

Output
Total moment   0.00 μB per cell
Calculated formation energy   0.55 eV per atom

[3]
First-principles (PBE-GGA) data for a geometry-optimized BiP2Se structure, as listed in the Alexandria database.

Lattice parameters (Å, degrees): 8.393 8.393 8.393 142.58 142.58 53.95
Positions (direct):
Bi 0.000 0.000 0.000
Bi 0.750 0.250 0.500
P 0.176 0.625 0.051
P 0.375 0.426 0.551
P 0.574 0.125 0.949
P 0.875 0.824 0.449
Se 0.250 0.750 0.500
Se 0.500 0.500 0.000

Output
Total moment   0.00 μB per cell
Formation energy from raw total energies   1.72 eV per formula unit
E above lowest polymorph   0 meV/atom

[4]
First-principles (PBE-GGA) data for a geometry-optimized BeRu2Au structure, as listed in the Alexandria database.

Lattice parameters (Å, degrees): 4.914 4.914 4.914 144.52 127.48 64.99
Positions (direct):
Be 0.000 0.000 0.000
Ru 0.222 0.722 0.500
Ru 0.494 0.494 0.000
Au 0.779 0.279 0.500

Output
Total moment   0.00 μB per cell
Calculated formation energy   0.18 eV per atom